(1)
{
  "formula": "La3Dy5Se12",
  "functional": "PBE",
  "state": "relaxed",
  "e_form_raw_ev_per_atom": -1.80,
  "dos_ef_per_ev_atom": 0.0000,
  "total_magnetization_mub_per_fu": 0.00,
  "mass_density_g_cm3": 5.8,
  "cell": [[-14.2461, -2.8617, -2.8814], [7.9938, -1.8087, -12.3398], [4.8859, -9.2885, 10.4544]],
  "species": ["La", "La", "La", "La", "La", "La", "La", "La", "La", "La", "La", "La", "Dy", "Dy", "Dy", "Dy", "Dy", "Dy", "Dy", "Dy", "Dy", "Dy", "Dy", "Dy", "Dy", "Dy", "Dy", "Dy", "Dy", "Dy", "Dy", "Dy", "Se", "Se", "Se", "Se", "Se", "Se", "Se", "Se", "Se", "Se", "Se", "Se", "Se", "Se", "Se", "Se", "Se", "Se", "Se", "Se", "Se", "Se", "Se", "Se", "Se", "Se", "Se", "Se", "Se", "Se", "Se", "Se", "Se", "Se", "Se", "Se", "Se", "Se", "Se", "Se", "Se", "Se", "Se", "Se", "Se", "Se", "Se", "Se"],
  "fractional_positions": [[0.7500, 0.3750, 0.1250], [0.8750, 0.7500, 0.1250], [0.3750, 0.7500, 0.6250], [0.2500, 0.1250, 0.3750], [0.8750, 0.1250, 0.2500], [0.3750, 0.6250, 0.2500], [0.6250, 0.3750, 0.7500], [0.1250, 0.8750, 0.7500], [0.7500, 0.8750, 0.6250], [0.6250, 0.2500, 0.3750], [0.1250, 0.2500, 0.8750], [0.2500, 0.6250, 0.8750], [0.1250, 0.3750, 0.2500], [0.0000, 0.5000, 0.0000], [0.0000, 0.0000, 0.0000], [0.3750, 0.2500, 0.1250], [0.5000, 0.0000, 0.5000], [0.5000, 0.5000, 0.0000], [0.1250, 0.7500, 0.3750], [0.7500, 0.1250, 0.8750], [0.7500, 0.6250, 0.3750], [0.3750, 0.1250, 0.7500], [0.6250, 0.8750, 0.2500], [0.5000, 0.5000, 0.5000], [0.5000, 0.0000, 0.0000], [0.0000, 0.0000, 0.5000], [0.2500, 0.3750, 0.6250], [0.2500, 0.8750, 0.1250], [0.0000, 0.5000, 0.5000], [0.8750, 0.2500, 0.6250], [0.6250, 0.7500, 0.8750], [0.8750, 0.6250, 0.7500], [0.7192, 0.1291, 0.0447], [0.3255, 0.5447, 0.4156], [0.9553, 0.3709, 0.2808], [0.5447, 0.2192, 0.1291], [0.5901, 0.7192, 0.6745], [0.9553, 0.5844, 0.1745], [0.3255, 0.7808, 0.4099], [0.0844, 0.9099, 0.1291], [0.5844, 0.9553, 0.6745], [0.7192, 0.5901, 0.1745], [0.7808, 0.4553, 0.3709], [0.8255, 0.9156, 0.0447], [0.1291, 0.7192, 0.5447], [0.3709, 0.4156, 0.0901], [0.0901, 0.9156, 0.3709], [0.4099, 0.1291, 0.5844], [0.0901, 0.1745, 0.2192], [0.4553, 0.6745, 0.0844], [0.8255, 0.9099, 0.2808], [0.1291, 0.4099, 0.0844], [0.3709, 0.9553, 0.7808], [0.5844, 0.6291, 0.4099], [0.9156, 0.8255, 0.5447], [0.7808, 0.3255, 0.9099], [0.4156, 0.3709, 0.5901], [0.0844, 0.1745, 0.4553], [0.2192, 0.6745, 0.0901], [0.1745, 0.0901, 0.7192], [0.6291, 0.0447, 0.2192], [0.8709, 0.5901, 0.9156], [0.5447, 0.3255, 0.9156], [0.5901, 0.8709, 0.4156], [0.9099, 0.8255, 0.7808], [0.9099, 0.0844, 0.6291], [0.8709, 0.2808, 0.4553], [0.1745, 0.0844, 0.9553], [0.6291, 0.5844, 0.9099], [0.4156, 0.0447, 0.3255], [0.2808, 0.4099, 0.8255], [0.2192, 0.5447, 0.6291], [0.9156, 0.0901, 0.8709], [0.6745, 0.2192, 0.5901], [0.4553, 0.7808, 0.8709], [0.0447, 0.4156, 0.8255], [0.4099, 0.2808, 0.3255], [0.0447, 0.6291, 0.7192], [0.6745, 0.4553, 0.5844], [0.2808, 0.8709, 0.9553]]
}

(2)
{
  "formula": "LaDy5Se6",
  "functional": "PBE",
  "state": "relaxed",
  "e_form_raw_ev_per_atom": -1.79,
  "dos_ef_per_ev_atom": 0.4867,
  "total_magnetization_mub_per_fu": 0.00,
  "mass_density_g_cm3": 8.0,
  "cell": [[-2.3481, -6.4359, 1.9839], [5.4883, 3.0294, 3.4018], [-5.3261, 4.0335, 2.5101]],
  "species": ["Dy", "Dy", "Dy", "Dy", "Dy", "Se", "Se", "Se", "Se", "Se", "Se", "La"],
  "fractional_positions": [[0.8393, 0.1607, 0.5000], [0.6669, 0.3331, 0.0000], [0.5000, 0.5000, 0.5000], [0.3331, 0.6669, 0.0000], [0.1607, 0.8393, 0.5000], [0.4307, 0.0860, 0.2580], [0.9140, 0.5693, 0.7420], [0.2608, 0.2608, 0.7480], [0.7392, 0.7392, 0.2520], [0.0860, 0.4307, 0.2580], [0.5693, 0.9140, 0.7420], [0.0000, 0.0000, 0.0000]]
}

(3)
{
  "formula": "LaDy2Se3",
  "functional": "PBE",
  "state": "relaxed",
  "e_form_raw_ev_per_atom": -1.82,
  "dos_ef_per_ev_atom": 0.5500,
  "total_magnetization_mub_per_fu": 0.00,
  "mass_density_g_cm3": 7.6,
  "cell": [[3.9732, 0.0000, -1.1257], [-0.6172, 5.4437, -2.1784], [-0.1024, -0.3178, 7.2134]],
  "species": ["La", "Dy", "Dy", "Se", "Se", "Se"],
  "fractional_positions": [[0.0000, 0.5000, 0.0000], [0.6611, 0.1611, 0.3222], [0.3389, 0.8389, 0.6778], [0.3220, 0.3220, 0.6440], [0.0000, 0.0000, 0.0000], [0.6780, 0.6780, 0.3560]]
}

(4)
{
  "formula": "La2Dy2Se5",
  "functional": "PBE",
  "state": "relaxed",
  "e_form_raw_ev_per_atom": -1.83,
  "dos_ef_per_ev_atom": 0.8053,
  "total_magnetization_mub_per_fu": 0.01,
  "mass_density_g_cm3": 7.2,
  "cell": [[7.8226, 0.0000, 0.0000], [0.0000, 7.3384, -4.2255], [0.0000, -0.6813, 8.4405]],
  "species": ["La", "La", "La", "La", "Dy", "Dy", "Dy", "Dy", "Se", "Se", "Se", "Se", "Se", "Se", "Se", "Se", "Se", "Se"],
  "fractional_positions": [[0.0000, 0.8032, 0.1968], [0.5000, 0.3032, 0.6968], [0.0000, 0.1968, 0.8032], [0.5000, 0.6968, 0.3032], [0.3437, 0.1514, 0.1514], [0.6563, 0.8486, 0.8486], [0.8437, 0.3486, 0.3486], [0.1563, 0.6514, 0.6514], [0.0000, 0.0000, 0.0000], [0.5000, 0.5000, 0.5000], [0.1532, 0.2107, 0.4754], [0.8468, 0.5246, 0.7893], [0.6532, 0.0246, 0.2893], [0.3468, 0.7107, 0.9754], [0.8468, 0.7893, 0.5246], [0.1532, 0.4754, 0.2107], [0.3468, 0.9754, 0.7107], [0.6532, 0.2893, 0.0246]]
}

(5)
{
  "formula": "LaDySe2",
  "functional": "PBE",
  "state": "relaxed",
  "e_form_raw_ev_per_atom": -1.82,
  "dos_ef_per_ev_atom": 0.3111,
  "total_magnetization_mub_per_fu": 0.00,
  "mass_density_g_cm3": 7.2,
  "relative_energy_ev_per_fu": 0.25,
  "cell": [[-3.5897, -1.8632, 0.3951], [-0.2693, -4.0219, -0.5153], [0.0303, -2.9720, 7.1579]],
  "species": ["La", "Dy", "Se", "Se"],
  "fractional_positions": [[0.6719, 0.6719, 0.9843], [0.4949, 0.4949, 0.5154], [0.0877, 0.0877, 0.7370], [0.2456, 0.2456, 0.2633]]
}

(6)
{
  "formula": "La2Dy3Se8",
  "functional": "PBE",
  "state": "relaxed",
  "e_form_raw_ev_per_atom": -1.79,
  "dos_ef_per_ev_atom": 0.5397,
  "total_magnetization_mub_per_fu": 0.00,
  "mass_density_g_cm3": 5.7,
  "cell": [[-4.5935, -3.2902, 4.2714], [-1.8520, -5.4128, -6.1611], [7.5291, -0.3508, 3.7815]],
  "species": ["La", "La", "Dy", "Dy", "Dy", "Se", "Se", "Se", "Se", "Se", "Se", "Se", "Se"],
  "fractional_positions": [[0.3400, 0.2626, 0.5251], [0.6600, 0.7374, 0.4749], [0.5000, 0.0000, 0.0000], [0.0000, 0.2613, 0.0000], [0.0000, 0.7387, 0.0000], [0.9353, 0.6219, 0.2437], [0.0647, 0.3781, 0.7563], [0.9203, 0.1132, 0.2265], [0.0797, 0.8868, 0.7735], [0.5897, 0.6475, 0.7626], [0.5897, 0.1151, 0.7626], [0.4103, 0.8849, 0.2374], [0.4103, 0.3525, 0.2374]]
}